Record 1
This record from Alexandria via LeMat-Bulk describes a relaxed structure of ReAsOs. The functional is PBE-GGA.

abc: 7.436 7.181 2.782
angles: 84.25 73.90 21.85
Element x y z (fractional)
1 Re 0.000 0.000 0.000
2 As 0.677 0.677 0.323
3 Os 0.348 0.348 0.652

Properties
Space-group type: Fmm2, No. 42
ΔE_f (eV per atom): 0.688

---

Record 2
This record from Alexandria via LeMat-Bulk describes a relaxed structure of NbTe4Ru. The functional is PBE-GGA.

abc: 9.796 9.796 6.404
angles: 101.09 101.09 138.34
Element x y z (fractional)
1 Nb 0.165 0.835 0.750
2 Nb 0.835 0.165 0.250
3 Te 0.042 0.458 0.761
4 Te 0.209 0.331 0.269
5 Te 0.331 0.209 0.769
6 Te 0.458 0.042 0.261
7 Te 0.542 0.958 0.739
8 Te 0.669 0.791 0.231
9 Te 0.791 0.669 0.731
10 Te 0.958 0.542 0.239
11 Ru 0.323 0.677 0.250
12 Ru 0.677 0.323 0.750

Properties
E_tot (eV/atom): -5.445
Space-group type: C2/c, No. 15

---

Record 3
This record from Alexandria via LeMat-Bulk describes a relaxed structure of BeAlIn2. The functional is PBE-GGA.

abc: 3.147 3.147 7.939
angles: 90.00 90.00 95.47
Element x y z (fractional)
1 Be 0.000 0.000 0.000
2 Al 0.000 0.000 0.500
3 In 0.500 0.500 0.217
4 In 0.500 0.500 0.783

Properties
Space-group type: Cmmm, No. 65
ΔE_f (eV per atom): 0.396

---

Record 4
This record from Alexandria via LeMat-Bulk describes a relaxed structure of ZrCoTc. The functional is PBE-GGA.

abc: 4.288 4.288 4.288
angles: 60.00 60.00 60.00
Element x y z (fractional)
1 Zr 0.000 0.000 0.000
2 Co 0.750 0.750 0.750
3 Tc 0.250 0.250 0.250

Properties
Space-group type: F-43m, No. 216
ΔE_f (eV per atom): 0.893

---

Record 5
This record from Alexandria via LeMat-Bulk describes a relaxed structure of Tl2CrW. The functional is PBE-GGA.

abc: 3.038 3.038 9.124
angles: 90.00 90.00 106.72
Element x y z (fractional)
1 Tl 0.000 0.000 0.247
2 Tl 0.000 0.000 0.753
3 Cr 0.500 0.500 0.000
4 W 0.500 0.500 0.500

Properties
Space-group type: Cmmm, No. 65
ΔE_f (eV per atom): 0.980

---

Record 6
This record from Alexandria via LeMat-Bulk describes a relaxed structure of LaTePb. The functional is PBE-GGA.

abc: 5.412 5.412 5.412
angles: 60.00 60.00 60.00
Element x y z (fractional)
1 La 0.000 0.000 0.000
2 Te 0.750 0.750 0.750
3 Pb 0.250 0.250 0.250

Properties
E_tot (eV/atom): -4.396
Space-group type: F-43m, No. 216

---

Record 7
This record from Alexandria via LeMat-Bulk describes a relaxed structure of La8Th3. The functional is PBE-GGA.

abc: 7.719 7.719 7.719
angles: 105.44 105.44 105.44
Element x y z (fractional)
1 La 0.184 0.672 0.567
2 La 0.218 0.218 0.218
3 La 0.328 0.433 0.816
4 La 0.433 0.816 0.328
5 La 0.567 0.184 0.672
6 La 0.672 0.567 0.184
7 La 0.782 0.782 0.782
8 La 0.816 0.328 0.433
9 Th 0.000 0.000 0.500
10 Th 0.000 0.500 0.000
11 Th 0.500 0.000 0.000

Properties
Space-group type: R-3, No. 148
ΔE_f (eV per atom): 0.385

---

Record 8
This record from Alexandria via LeMat-Bulk describes a relaxed structure of Sm2HoTh. The functional is PBE-GGA.

abc: 5.712 5.712 5.712
angles: 60.00 60.00 60.00
Element x y z (fractional)
1 Sm 0.250 0.250 0.250
2 Sm 0.750 0.750 0.750
3 Ho 0.000 0.000 0.000
4 Th 0.500 0.500 0.500

Properties
Space-group type: Fm-3m, No. 225
ΔE_f (eV per atom): 0.200

---

Record 9
This record from Alexandria via LeMat-Bulk describes a relaxed structure of UCuRh4Se8. The functional is PBE-GGA.

abc: 7.304 7.304 7.304
angles: 63.54 63.54 63.54
Element x y z (fractional)
1 U 0.000 0.000 0.000
2 Cu 0.378 0.378 0.378
3 Rh 0.002 0.002 0.502
4 Rh 0.002 0.502 0.002
5 Rh 0.502 0.002 0.002
6 Rh 0.627 0.627 0.627
7 Se 0.238 0.743 0.743
8 Se 0.241 0.241 0.241
9 Se 0.258 0.258 0.765
10 Se 0.258 0.765 0.258
11 Se 0.743 0.238 0.743
12 Se 0.743 0.743 0.238
13 Se 0.764 0.764 0.764
14 Se 0.765 0.258 0.258

Properties
E_tot (eV/atom): -5.694
Space-group type: R3m, No. 160

---

Record 10
This record from Alexandria via LeMat-Bulk describes a relaxed structure of ScNi2BPt. The functional is PBE-GGA.

abc: 3.975 3.975 4.171
angles: 90.00 90.00 90.00
Element x y z (fractional)
1 Sc 0.000 0.000 0.000
2 Ni 0.000 0.500 0.500
3 Ni 0.500 0.000 0.500
4 B 0.500 0.500 0.500
5 Pt 0.500 0.500 0.000

Properties
Space-group type: P4/mmm, No. 123
ΔE_f (eV per atom): -0.539

---

Record 11
This record from Alexandria via LeMat-Bulk describes a relaxed structure of Tm2BiRuO8. The functional is PBE-GGA.

abc: 4.972 4.972 6.671
angles: 90.00 90.00 91.28
Element x y z (fractional)
1 Tm 0.000 0.000 0.246
2 Tm 0.000 0.000 0.754
3 Bi 0.500 0.500 0.500
4 Ru 0.500 0.500 0.000
5 O 0.192 0.192 0.500
6 O 0.225 0.225 0.000
7 O 0.316 0.684 0.224
8 O 0.316 0.684 0.776
9 O 0.684 0.316 0.224
10 O 0.684 0.316 0.776
11 O 0.775 0.775 0.000
12 O 0.808 0.808 0.500

Properties
E_tot (eV/atom): -7.165
Space-group type: Cmmm, No. 65

---

Record 12
This record from Alexandria via LeMat-Bulk describes a relaxed structure of BaNaGe3. The functional is PBE-GGA.

abc: 5.214 5.214 5.214
angles: 90.00 90.00 90.00
Element x y z (fractional)
1 Ba 0.000 0.000 0.000
2 Na 0.500 0.500 0.500
3 Ge 0.000 0.500 0.500
4 Ge 0.500 0.000 0.500
5 Ge 0.500 0.500 0.000

Properties
Space-group type: Pm-3m, No. 221
ΔE_f (eV per atom): 0.304

---

Record 13
This record from Alexandria via LeMat-Bulk describes a relaxed structure of Tc2AsW. The functional is PBE-GGA.

abc: 2.854 4.235 5.219
angles: 90.00 105.05 90.00
Element x y z (fractional)
1 Tc 0.000 0.000 0.000
2 Tc 0.352 0.500 0.744
3 As 0.296 0.000 0.497
4 W 0.719 0.500 0.248

Properties
Space-group type: Pm, No. 6
ΔE_f (eV per atom): 0.142

---

Record 14
This record from Alexandria via LeMat-Bulk describes a relaxed structure of AcThAg. The functional is PBE-GGA.

abc: 7.099 7.099 7.099
angles: 148.68 148.68 44.88
Element x y z (fractional)
1 Ac 0.000 0.000 0.000
2 Th 0.300 0.300 0.000
3 Ag 0.669 0.669 0.000

Properties
Space-group type: I4mm, No. 107
ΔE_f (eV per atom): -0.020

---

Record 15
This record from Alexandria via LeMat-Bulk describes a relaxed structure of PrIn2Cl5. The functional is PBE-GGA.

abc: 13.061 8.852 8.297
angles: 90.00 90.00 90.00
Element x y z (fractional)
1 Pr 0.005 0.250 0.076
2 Pr 0.495 0.750 0.576
3 Pr 0.505 0.250 0.424
4 Pr 0.995 0.750 0.924
5 In 0.173 0.003 0.547
6 In 0.173 0.497 0.547
7 In 0.327 0.503 0.047
8 In 0.327 0.997 0.047
9 In 0.673 0.003 0.953
10 In 0.673 0.497 0.953
11 In 0.827 0.503 0.453
12 In 0.827 0.997 0.453
13 Cl 0.007 0.250 0.417
14 Cl 0.075 0.544 0.163
15 Cl 0.075 0.956 0.163
16 Cl 0.184 0.250 0.889
17 Cl 0.204 0.750 0.841
18 Cl 0.296 0.250 0.341
19 Cl 0.316 0.750 0.389
20 Cl 0.425 0.044 0.663
21 Cl 0.425 0.456 0.663
22 Cl 0.493 0.750 0.917
23 Cl 0.507 0.250 0.083
24 Cl 0.575 0.544 0.337
25 Cl 0.575 0.956 0.337
26 Cl 0.684 0.250 0.611
27 Cl 0.704 0.750 0.659
28 Cl 0.796 0.250 0.159
29 Cl 0.816 0.750 0.111
30 Cl 0.925 0.044 0.837
31 Cl 0.925 0.456 0.837
32 Cl 0.993 0.750 0.583

Properties
E_tot (eV/atom): -4.011
Space-group type: Pnma, No. 62

---

Record 16
This record from Alexandria via LeMat-Bulk describes a relaxed structure of Tl2Cd2AgPd5. The functional is PBE-GGA.

abc: 10.880 10.880 3.251
angles: 90.00 90.00 90.00
Element x y z (fractional)
1 Tl 0.158 0.342 0.000
2 Tl 0.342 0.842 0.000
3 Tl 0.658 0.158 0.000
4 Tl 0.842 0.658 0.000
5 Cd 0.153 0.653 0.000
6 Cd 0.347 0.153 0.000
7 Cd 0.653 0.847 0.000
8 Cd 0.847 0.347 0.000
9 Ag 0.000 0.000 0.000
10 Ag 0.500 0.500 0.000
11 Pd 0.000 0.206 0.500
12 Pd 0.000 0.500 0.500
13 Pd 0.000 0.794 0.500
14 Pd 0.206 0.000 0.500
15 Pd 0.294 0.500 0.500
16 Pd 0.500 0.000 0.500
17 Pd 0.500 0.294 0.500
18 Pd 0.500 0.706 0.500
19 Pd 0.706 0.500 0.500
20 Pd 0.794 0.000 0.500

Properties
Space-group type: P4/mbm, No. 127
ΔE_f (eV per atom): -0.089

---

Record 17
This record from Alexandria via LeMat-Bulk describes a relaxed structure of K5C. The functional is PBE-GGA.

abc: 4.092 4.092 18.695
angles: 90.00 90.00 90.00
Element x y z (fractional)
1 K 0.000 0.000 0.000
2 K 0.000 0.000 0.415
3 K 0.000 0.000 0.585
4 K 0.500 0.500 0.204
5 K 0.500 0.500 0.796
6 C 0.500 0.500 0.500

Properties
Space-group type: P4/mmm, No. 123
ΔE_f (eV per atom): 0.784

---

Record 18
This record from Alexandria via LeMat-Bulk describes a relaxed structure of NdY2GeN4. The functional is PBE-GGA.

abc: 6.007 6.007 11.659
angles: 90.00 90.00 145.65
Element x y z (fractional)
1 Nd 0.099 0.901 0.750
2 Nd 0.901 0.099 0.250
3 Y 0.370 0.630 0.543
4 Y 0.370 0.630 0.957
5 Y 0.630 0.370 0.043
6 Y 0.630 0.370 0.457
7 Ge 0.163 0.837 0.250
8 Ge 0.837 0.163 0.750
9 N 0.000 0.000 0.000
10 N 0.000 0.000 0.500
11 N 0.269 0.731 0.127
12 N 0.269 0.731 0.373
13 N 0.422 0.578 0.750
14 N 0.578 0.422 0.250
15 N 0.731 0.269 0.627
16 N 0.731 0.269 0.873

Properties
E_tot (eV/atom): -8.012
Space-group type: Cmcm, No. 63

---

Record 19
This record from Alexandria via LeMat-Bulk describes a relaxed structure of Dy3InHg3. The functional is PBE-GGA.

abc: 9.137 9.137 5.092
angles: 90.00 90.00 120.00
Element x y z (fractional)
1 Dy 0.102 0.447 0.250
2 Dy 0.345 0.898 0.250
3 Dy 0.447 0.345 0.750
4 Dy 0.553 0.655 0.250
5 Dy 0.655 0.102 0.750
6 Dy 0.898 0.553 0.750
7 In 0.333 0.667 0.750
8 In 0.667 0.333 0.250
9 Hg 0.039 0.239 0.750
10 Hg 0.200 0.961 0.750
11 Hg 0.239 0.200 0.250
12 Hg 0.761 0.800 0.750
13 Hg 0.800 0.039 0.250
14 Hg 0.961 0.761 0.250

Properties
Space-group type: P6_3/m, No. 176
ΔE_f (eV per atom): -0.355

---

Record 20
This record from Alexandria via LeMat-Bulk describes a relaxed structure of ScTa2Te. The functional is PBE-GGA.

abc: 4.587 5.537 5.537
angles: 35.66 90.00 90.00
Element x y z (fractional)
1 Sc 0.000 0.000 0.000
2 Ta 0.000 0.259 0.259
3 Ta 0.500 0.713 0.713
4 Te 0.500 0.435 0.435

Properties
E_tot (eV/atom): -8.340
Space-group type: Amm2, No. 38